# 1
The following is a DFT calculation (PBE-GGA) of crystalline ScFeCl2 at its relaxed geometry.

Cell lengths 4.5692, 4.5692, 4.5692 Å; angles 60.00, 60.00, 60.00 degrees
With the nearest neighbours (Å) after each atom.
Element x y z (fractional)
Sc 0.0000 0.0000 0.0000  8 Cl 2.80
Fe 0.5000 0.5000 0.5000  8 Cl 2.80
Cl 0.2500 0.2500 0.2500  4 Fe 2.80, 4 Sc 2.80
Cl 0.7500 0.7500 0.7500  4 Fe 2.80, 4 Sc 2.80

Properties
Raw formation energy ... -28 kJ/mol of atoms

=====

# 2
The following is a DFT calculation (PBE-GGA) of crystalline ScFe2Cl at its relaxed geometry.

Cell lengths 5.7789, 5.7789, 5.7789 Å; angles 100.23, 100.23, 130.15 degrees
With the nearest neighbours (Å) after each atom.
Element x y z (fractional)
Sc 0.0000 0.0000 0.0000  2 Cl 2.44
Sc 0.7500 0.2500 0.5000  2 Cl 2.44
Fe 0.1791 0.6250 0.0541  2 Cl 2.43, 2 Fe 2.56
Fe 0.3750 0.4291 0.5541  2 Cl 2.43, 2 Fe 2.56
Fe 0.5709 0.1250 0.9459  2 Cl 2.43, 2 Fe 2.56
Fe 0.8750 0.8209 0.4459  2 Cl 2.43, 2 Fe 2.56
Cl 0.2500 0.7500 0.5000  4 Fe 2.43, 2 Sc 2.44
Cl 0.5000 0.5000 0.0000  4 Fe 2.43, 2 Sc 2.44

Properties
Raw formation energy ... 20 kJ/mol of atoms

=====

# 3
The following is a DFT calculation (PBE-GGA) of crystalline ScFeSe2Cl at its relaxed geometry.

Cell lengths 4.5130, 4.5130, 5.3004 Å; angles 90.00, 90.00, 90.00 degrees
With the nearest neighbours (Å) after each atom.
Element x y z (fractional)
Sc 0.0000 0.0000 0.0000  2 Fe 2.65
Fe 0.0000 0.0000 0.5000  4 Se 2.26
Se 0.0000 0.5000 0.5000  2 Fe 2.26
Se 0.5000 0.0000 0.5000  2 Fe 2.26
Cl 0.5000 0.5000 0.0000  4 Sc 3.19, 8 Se 3.48

Properties
Raw formation energy ... -32 kJ/mol of atoms

=====

# 4
The following is a DFT calculation (PBE-GGA) of crystalline ScTlFeCl6 at its relaxed geometry.

Cell lengths 6.5104, 6.5104, 7.1714 Å; angles 90.03, 90.03, 120.01 degrees
With the nearest neighbours (Å) after each atom.
Element x y z (fractional)
Sc 0.0000 0.0000 0.0000  6 Cl 2.51
Tl 0.3335 0.6665 0.5000  6 Cl 3.25-3.26
Fe 0.6670 0.3330 0.0000  6 Cl 2.49
Cl 0.3360 0.2936 0.8011  1 Fe 2.49, 1 Sc 2.51
Cl 0.3366 0.0408 0.1984  1 Fe 2.49, 1 Sc 2.51
Cl 0.7064 0.6640 0.1989  1 Fe 2.49, 1 Sc 2.51
Cl 0.7086 0.0433 0.7993  1 Fe 2.49, 1 Sc 2.51
Cl 0.9567 0.2914 0.2007  1 Fe 2.49, 1 Sc 2.51
Cl 0.9592 0.6634 0.8016  1 Fe 2.49, 1 Sc 2.51

Properties
Raw formation energy ... -135 kJ/mol of atoms

=====

# 5
The following is a DFT calculation (PBE-GGA) of crystalline ScFe2WCl at its relaxed geometry.

Cell lengths 4.4878, 4.4878, 4.6686 Å; angles 90.00, 90.00, 90.00 degrees
With the nearest neighbours (Å) after each atom.
Element x y z (fractional)
Sc 0.0000 0.0000 0.0000  4 Cl 3.17, 8 Fe 3.24
Fe 0.0000 0.5000 0.5000  2 W 2.24
Fe 0.5000 0.0000 0.5000  2 W 2.24
W 0.5000 0.5000 0.5000  4 Fe 2.24, 2 Cl 2.33
Cl 0.5000 0.5000 0.0000  2 W 2.33

Properties
Raw formation energy ... 96 kJ/mol of atoms

=====

# 6
The following is a DFT calculation (PBE-GGA) of crystalline FeSe2Cl2 at its relaxed geometry.

Cell lengths 5.6221, 5.6221, 5.6221 Å; angles 119.62, 119.62, 90.67 degrees
With the nearest neighbours (Å) after each atom.
Element x y z (fractional)
Fe 0.0000 0.0000 0.0000  2 Cl 2.20
Se 0.2500 0.7500 0.5000  4 Cl 2.84
Se 0.7500 0.2500 0.5000  4 Cl 2.84
Cl 0.2790 0.2790 0.0000  1 Fe 2.20
Cl 0.7210 0.7210 0.0000  1 Fe 2.20

Properties
Raw formation energy ... 56 kJ/mol of atoms

=====

# 7
The following is a DFT calculation (PBE-GGA) of crystalline FeSe2Cl at its relaxed geometry.

Cell lengths 6.5804, 6.5804, 6.5804 Å; angles 122.86, 122.86, 85.12 degrees
With the nearest neighbours (Å) after each atom.
Element x y z (fractional)
Fe 0.0000 0.0000 0.0000  4 Se 2.20
Fe 0.7500 0.2500 0.5000  4 Se 2.20
Se 0.0272 0.6250 0.9022  2 Fe 2.20
Se 0.3750 0.2772 0.4022  2 Fe 2.20
Se 0.7228 0.1250 0.0978  2 Fe 2.20
Se 0.8750 0.9728 0.5978  2 Fe 2.20
Cl 0.2500 0.7500 0.5000  4 Se 2.96
Cl 0.5000 0.5000 0.0000  4 Se 2.96

Properties
Raw formation energy ... -1 kJ/mol of atoms

=====

# 8
The following is a DFT calculation (PBE-GGA) of crystalline FeSe2Cl at its relaxed geometry.

Cell lengths 5.0708, 5.0708, 2.8966 Å; angles 90.00, 90.00, 90.00 degrees
With the nearest neighbours (Å) after each atom.
Element x y z (fractional)
Fe 0.0000 0.0000 0.0000  2 Fe 2.90, 8 Se 2.92
Se 0.0000 0.5000 0.5000  2 Se 2.90, 4 Cl 2.92, 4 Fe 2.92
Se 0.5000 0.0000 0.5000  2 Se 2.90, 4 Cl 2.92, 4 Fe 2.92
Cl 0.5000 0.5000 0.0000  2 Cl 2.90, 8 Se 2.92

Properties
Raw formation energy ... 61 kJ/mol of atoms

=====

# 9
The following is a DFT calculation (PBE-GGA) of crystalline FeSe3Cl at its relaxed geometry.

Cell lengths 4.6972, 4.6972, 4.6972 Å; angles 90.00, 90.00, 90.00 degrees
With the nearest neighbours (Å) after each atom.
Element x y z (fractional)
Fe 0.0000 0.0000 0.0000  6 Se 2.35
Se 0.0000 0.0000 0.5000  2 Fe 2.35
Se 0.0000 0.5000 0.0000  2 Fe 2.35
Se 0.5000 0.0000 0.0000  2 Fe 2.35
Cl 0.5000 0.5000 0.5000  12 Se 3.32

Properties
Raw formation energy ... 40 kJ/mol of atoms

=====

# 10
The following is a DFT calculation (PBE-GGA) of crystalline Fe2SeCl at its relaxed geometry.

Cell lengths 3.2205, 3.2205, 7.1432 Å; angles 90.00, 90.00, 90.00 degrees
With the nearest neighbours (Å) after each atom.
Element x y z (fractional)
Fe 0.0000 0.0000 0.0000  1 Se 2.33, 4 Fe 2.55
Fe 0.5000 0.5000 0.1615  1 Cl 2.52, 4 Fe 2.55, 4 Se 2.56
Se 0.0000 0.0000 0.3266  5 Fe 2.33-2.56
Cl 0.5000 0.5000 0.8084  5 Fe 2.52-2.66

Properties
Raw formation energy ... -10 kJ/mol of atoms

=====

# 11
The following is a DFT calculation (PBE-GGA) of crystalline Fe2SeCl at its relaxed geometry.

Cell lengths 4.3948, 4.3948, 6.9723 Å; angles 121.24, 121.24, 43.73 degrees
With the nearest neighbours (Å) after each atom.
Element x y z (fractional)
Fe 0.2106 0.2106 0.3426  3 Se 2.50-2.56, 2 Fe 2.52, 2 Cl 2.60
Fe 0.7894 0.7894 0.6574  3 Se 2.50-2.56, 2 Fe 2.52, 2 Cl 2.60
Se 0.0000 0.0000 0.5000  6 Fe 2.50-2.56
Cl 0.5000 0.5000 0.0000  4 Fe 2.60

Properties
Raw formation energy ... -8 kJ/mol of atoms

=====

# 12
The following is a DFT calculation (PBE-GGA) of crystalline Fe2SeCl at its relaxed geometry.

Cell lengths 3.2288, 3.2288, 6.5036 Å; angles 90.00, 90.00, 90.00 degrees
With the nearest neighbours (Å) after each atom.
Element x y z (fractional)
Fe 0.0000 0.0000 0.1916  1 Fe 2.49, 4 Se 2.60
Fe 0.0000 0.0000 0.8084  1 Fe 2.49, 4 Se 2.60
Se 0.5000 0.5000 0.0000  8 Fe 2.60
Cl 0.5000 0.5000 0.5000  8 Fe 3.04, 4 Cl 3.23, 2 Se 3.25

Properties
Raw formation energy ... 21 kJ/mol of atoms

=====

# 13
The following is a DFT calculation (PBE-GGA) of crystalline FeSe2Cl at its relaxed geometry.

Cell lengths 5.4021, 4.7171, 4.6943 Å; angles 70.06, 55.17, 54.77 degrees
With the nearest neighbours (Å) after each atom.
Element x y z (fractional)
Fe 0.0000 0.0000 0.0000  4 Se 2.70, 2 Cl 2.75
Se 0.0000 0.5000 0.5000  2 Cl 2.70, 2 Fe 2.70, 2 Se 2.75
Se 0.5000 0.0000 0.0000  2 Cl 2.70, 2 Fe 2.70, 2 Se 2.75
Cl 0.5000 0.5000 0.5000  4 Se 2.70, 2 Fe 2.75

Properties
Raw formation energy ... 31 kJ/mol of atoms

=====

# 14
The following is a DFT calculation (PBE-GGA) of crystalline Fe2SeCl at its relaxed geometry.

Cell lengths 5.1542, 5.1542, 5.1542 Å; angles 145.17, 104.81, 85.61 degrees
With the nearest neighbours (Å) after each atom.
Element x y z (fractional)
Fe 0.2496 0.2496 0.0000  2 Cl 2.44, 2 Se 2.44
Fe 0.7504 0.7504 0.0000  2 Cl 2.44, 2 Se 2.44
Se 0.5000 0.0000 0.5000  4 Fe 2.44
Cl 0.0000 0.5000 0.5000  4 Fe 2.44

Properties
Raw formation energy ... 28 kJ/mol of atoms

=====

# 15
The following is a DFT calculation (PBE-GGA) of crystalline Fe2SeCl at its relaxed geometry.

Cell lengths 6.3107, 6.3107, 6.3107 Å; angles 132.07, 132.07, 70.13 degrees
With the nearest neighbours (Å) after each atom.
Element x y z (fractional)
Fe 0.1065 0.6250 0.9815  2 Cl 2.17, 2 Se 2.28
Fe 0.3750 0.3565 0.4815  2 Cl 2.17, 2 Se 2.28
Fe 0.6435 0.1250 0.0185  2 Cl 2.17, 2 Se 2.28
Fe 0.8750 0.8935 0.5185  2 Cl 2.17, 2 Se 2.28
Se 0.2500 0.7500 0.5000  4 Fe 2.28
Se 0.5000 0.5000 0.0000  4 Fe 2.28
Cl 0.0000 0.0000 0.0000  4 Fe 2.17
Cl 0.7500 0.2500 0.5000  4 Fe 2.17

Properties
Raw formation energy ... 27 kJ/mol of atoms

=====

The following DFT total energy values (in eV/atom) correspond, in order, to the records above: -4.913, -6.066, -5.054, -4.540, -6.615, -3.248, -4.329, -3.689, -3.743, -5.665, -5.651, -5.346, -3.999, -5.273, -5.289.